# 1
First-principles (PBE) data for TbPu4N5 after structural relaxation, as listed in Alexandria.

Lattice parameters (Å, degrees): 3.485 4.902 9.202 105.45 100.92 90.00
Last column: magnetic moment on the atom in μB.
Fractional coordinates of all 10 atoms:
Tb1 0.000 0.000 0.000  -0.07
Pu1 0.401 0.401 0.802  -4.58
Pu2 0.799 0.799 0.599  4.49
Pu3 0.201 0.201 0.401  4.49
Pu4 0.599 0.599 0.198  -4.58
N1 0.602 0.102 0.205  0.01
N2 0.798 0.298 0.596  -0.09
N3 0.202 0.702 0.404  -0.09
N4 0.000 0.500 0.000  0.18
N5 0.398 0.898 0.795  0.01

Computed properties:
Space-group type: No. 71
Formation energy (no corrections) (eV per atom): -1.28

=====

# 2
First-principles (PBE) data for NdCu2Pd after structural relaxation, as listed in Alexandria.

Lattice parameters (Å, degrees): 4.680 4.680 4.680 60.00 60.00 60.00
Fractional coordinates of all 4 atoms:
Nd1 0.000 0.000 0.000
Cu1 0.250 0.250 0.250
Cu2 0.750 0.750 0.750
Pd1 0.500 0.500 0.500

Computed properties:
Energy of formation from the pure elements (eV per atom): -0.226
Space-group type: No. 225

=====

# 3
First-principles (PBE) data for FeHg2Cl after structural relaxation, as listed in Alexandria.

Lattice parameters (Å, degrees): 5.179 5.179 3.149 90.00 90.00 90.00
Last column: magnetic moment on the atom in μB.
Fractional coordinates of all 4 atoms:
Cl1 0.500 0.000 0.500  0.04
Hg1 0.000 0.000 0.000  -0.01
Hg2 0.500 0.500 0.000  -0.01
Fe1 0.000 0.500 0.500  3.11

Computed properties:
Space-group type: No. 123
Formation energy (no corrections) (eV per atom): 0.37

=====

# 4
First-principles (PBE) data for Al3Ag4 after structural relaxation, as listed in Alexandria.

Lattice parameters (Å, degrees): 3.203 10.362 3.673 100.21 90.00 81.11
Fractional coordinates of all 7 atoms:
Ag1 0.008 0.984 0.992
Ag2 0.428 0.144 0.572
Ag3 0.286 0.428 0.714
Ag4 0.707 0.587 0.293
Al1 0.857 0.286 0.143
Al2 0.145 0.710 0.855
Al3 0.569 0.862 0.431

Computed properties:
Energy of formation from the pure elements (eV per atom): -0.051
Space-group type: No. 71

=====

| no. | DFT total energy (eV per cell) | volume (Å³/cell) |
| --- | --- | --- |
| 1 | -116.4 | 148.6 |
| 2 | -19.1 | 72.5 |
| 3 | -9.4 | 84.5 |
| 4 | -23.0 | 118.5 |